[1]
Na2CoMoP: relaxed, GGA-PBE.

```
Na2CoMoP
1.0
5.077 0.000 0.000
0.000 4.658 0.000
0.000 0.000 5.077
P Mo Co Na
1 1 1 2
Cartesian
0.000 0.000 0.000 P
0.000 2.329 0.000 Mo
2.539 2.329 2.539 Co
0.000 0.000 2.539 Na
2.539 0.000 0.000 Na
```

Results
- ΔE_f (meV per atom) = 990.9
- space group = P4/mmm, No. 123
- DFT total energy (eV per atom) = -4.206
- N(E_F) (states/eV per cell) = 13.4

---

[2]
NaCoReMo2: relaxed, GGA-PBE.

```
NaCoReMo2
1.0
4.803 0.000 0.000
0.000 4.622 0.000
0.000 0.000 4.803
Re Mo Co Na
1 2 1 1
Cartesian
0.000 0.000 0.000 Re
0.000 0.000 2.401 Mo
2.401 0.000 0.000 Mo
0.000 2.311 0.000 Co
2.401 2.311 2.401 Na
```

Results
- ΔE_f (meV per atom) = 1494.7
- space group = P4/mmm, No. 123
- DFT total energy (eV per atom) = -7.012
- N(E_F) (states/eV per cell) = 6.0

---

[3]
Na2CoMoRh: relaxed, GGA-PBE.

```
Na2CoMoRh
1.0
-2.965 4.442 0.445
-1.684 -1.608 4.827
3.255 1.993 1.799
Co Mo Rh Na
1 1 1 2
Cartesian
1.628 0.996 0.900 Co
0.000 0.000 0.000 Mo
-0.697 2.413 3.536 Rh
-0.842 -0.804 2.413 Na
-1.483 2.221 0.223 Na
```

Results
- ΔE_f (meV per atom) = 1818.1
- space group = P4/mmm, No. 123
- DFT total energy (eV per atom) = -3.767
- N(E_F) (states/eV per cell) = 10.0

---

[4]
Nb3CoMo: relaxed, GGA-PBE.

```
Nb3CoMo
1.0
4.769 0.000 0.000
0.000 4.769 0.000
0.000 0.000 4.769
Mo Co Nb
1 1 3
Cartesian
0.000 0.000 0.000 Mo
2.385 2.385 2.385 Co
0.000 2.385 0.000 Nb
0.000 0.000 2.385 Nb
2.385 0.000 0.000 Nb
```

Results
- ΔE_f (meV per atom) = 1639.4
- space group = Pm-3m, No. 221
- DFT total energy (eV per atom) = -7.990
- N(E_F) (states/eV per cell) = 9.4